La6In3Hg | PBE | relaxed

The calculation puts the uncorrected energy at -40.73 eV/f.u. For the distance to the lowest polymorph of the same formula, the calculation gives 1.44 eV/f.u. The value obtained for the density of states at the Fermi level is 20.890 states/eV/cell. The value obtained for the formation energy from the elements is -0.27 eV/atom.

Structure (CIF):
```
data_La6In3Hg
_space_group_name_H-M_alt 'P 1 21/c 1'
_space_group_IT_number 14
_space_group_name_Hall '-P 2ybc'
_cell_length_a 8.745
_cell_length_b 8.398
_cell_length_c 12.251
_cell_angle_alpha 90.00
_cell_angle_beta 131.60
_cell_angle_gamma 90.00
loop_
_atom_site_label
_atom_site_type_symbol
_atom_site_fract_x
_atom_site_fract_y
_atom_site_fract_z
La1 La 0.007 0.106 0.271
La2 La 0.269 0.680 0.081
La3 La 0.417 0.140 0.059
In1 In 0.000 0.000 0.000
In2 In 0.253 0.163 0.706
Hg1 Hg 0.500 0.000 0.500
```

La2In3Hg4 | PBE | relaxed

The calculation puts the uncorrected energy at -22.81 eV/f.u. For the distance to the lowest polymorph of the same formula, the calculation gives 0.00 eV/f.u. The value obtained for the density of states at the Fermi level is 3.221 states/eV/cell. The value obtained for the formation energy from the elements is -0.39 eV/atom.

Structure (CIF):
```
data_La2In3Hg4
_space_group_name_H-M_alt 'P -3 m 1'
_space_group_IT_number 164
_space_group_name_Hall '-P 3 2"'
_cell_length_a 5.1636
_cell_length_b 5.1636
_cell_length_c 10.4645
_cell_angle_alpha 90.00
_cell_angle_beta 90.00
_cell_angle_gamma 120.00
loop_
_atom_site_label
_atom_site_type_symbol
_atom_site_fract_x
_atom_site_fract_y
_atom_site_fract_z
La1 La 0.3333 0.6667 0.2883
In1 In 0.0000 0.0000 0.5000
In2 In 0.3333 0.6667 0.9373
Hg1 Hg 0.0000 0.0000 0.1598
Hg2 Hg 0.3333 0.6667 0.6036
```

no.,volume (Å³ per atom)
1,33.6
2,26.8